Version i
A relaxed Pu2TcSb crystal. Source: Alexandria, functional PBE-GGA.

- density (Mg/m³) = 13.364
- D(E_F) (states/eV per atom) = 2.579
- crystal system = tetragonal

Unit cell a=3.8621 b=3.8621 c=5.8959 alpha=90.00 beta=90.00 gamma=90.00
Last column: nearest neighbours and their distance in Å.
Positions (direct):
Pu1 0.0000 0.0000 0.2390  2 Pu 2.82-3.08, 4 Tc 3.07, 4 Sb 3.13
Pu2 0.0000 0.0000 0.7610  2 Pu 2.82-3.08, 4 Tc 3.07, 4 Sb 3.13
Tc1 0.5000 0.5000 0.0000  2 Sb 2.95, 8 Pu 3.07
Sb1 0.5000 0.5000 0.5000  2 Tc 2.95, 8 Pu 3.13


Version ii
A relaxed Pu2TcSb crystal. Source: Alexandria, functional PBE-GGA.

- density (Mg/m³) = 13.548
- D(E_F) (states/eV per atom) = 2.211
- crystal system = tetragonal

Unit cell a=4.4702 b=4.4702 c=4.3411 alpha=90.00 beta=90.00 gamma=90.00
Last column: nearest neighbours and their distance in Å.
Positions (direct):
Pu1 0.0000 0.5000 0.0000  4 Tc 3.12, 4 Sb 3.12, 4 Pu 3.16
Pu2 0.5000 0.0000 0.0000  4 Tc 3.12, 4 Sb 3.12, 4 Pu 3.16
Tc1 0.0000 0.0000 0.5000  8 Pu 3.12, 4 Sb 3.16
Sb1 0.5000 0.5000 0.5000  8 Pu 3.12, 4 Tc 3.16


Going by the energies, version i is most stable and the next is 0.014 eV/atom up.